(1)
Computed, not measured: LaCoMo2 at its PBEsol-relaxed geometry at the meta-GGA SCAN level of DFT.

Cell and atoms, written as extended XYZ:
```
4
Lattice="2.8637 0.0038 0.0000 -1.0279 4.9014 0.0000 -0.9179 -2.4526 4.7596" Properties=species:S:1:pos:R:3 pbc="T T T"
Co -0.5140 2.4507 0.0000
La 1.4318 0.0019 0.0000
Mo 0.4589 1.2263 2.3798
Mo -0.4589 -1.2263 2.3798
```

The crystal system is monoclinic. As for the energy above the lowest structure with this stoichiometry: 0.000 eV/atom. Its space-group type is C2/m (12). The total energy comes out at -31.793 eV per atom. As for the theoretical density: 9.68 Mg/m³. As for the formation energy: 752.4 meV per atom.

(2)
Computed, not measured: Zr2CdOs at its PBEsol-relaxed geometry at the meta-GGA SCAN level of DFT.

Cell and atoms, written as extended XYZ:
```
4
Lattice="-0.9175 -0.5117 -3.1589 0.0718 -3.2886 0.5119 -6.5799 0.1500 1.8869" Properties=species:S:1:pos:R:3 pbc="T T T"
Cd -3.4330 0.0782 0.9845
Zr -6.3624 0.1450 1.8246
Zr -2.0164 -1.8639 -0.8665
Os -5.4837 -1.7848 0.1278
```

The crystal system is tetragonal. Its space-group type is P4mm (99). The total energy comes out at -41.010 eV per atom. As for the theoretical density: 10.62 Mg/m³. As for the formation energy: -87.0 meV per atom.

(3)
Computed, not measured: NaTi2O3 at its PBEsol-relaxed geometry at the meta-GGA SCAN level of DFT.

Cell and atoms, written as extended XYZ:
```
6
Lattice="-0.9585 -1.8218 2.2115 2.9169 0.7695 -0.1656 -1.3667 6.1419 4.4673" Properties=species:S:1:pos:R:3 pbc="T T T"
Ti 1.4237 0.8111 1.2853
O 0.6601 4.2424 3.7810
Na -0.6834 3.0709 2.2336
O 0.0000 0.0000 0.0000
O -0.0684 0.8473 2.7322
Ti -0.8319 4.2785 5.2279
```

The calculation puts the energy relative to the elements, uncorrected at -2.672 eV per atom. The crystal system is trigonal. As for the energy above the lowest structure with this stoichiometry: 0.006 eV/atom. Its space-group type is P-3m1 (164). The total energy comes out at -11.834 eV per atom. As for the theoretical density: 4.54 Mg/m³.

Total magnetic moment values, unit μB/atom, following the record order: 0.42; 0.00; 0.00.